VASP calculation (GGA-PBE) on a relaxed structure of Tl5H2Br4.

```
Tl5H2Br4
1.0
4.2092 0.0000 -0.7949
-0.5382 7.7928 -2.8500
-0.0534 -1.0957 11.2594
Tl H Br
5 2 4
Cartesian
3.1725 3.7029 5.2577
0.4451 2.9942 2.3569
3.5477 -0.5306 7.2441
2.1046 0.0000 -0.3974
0.0700 7.2277 0.3705
2.4670 0.2516 1.5217
1.1506 6.4455 6.0929
1.1242 1.4423 5.9532
3.7096 4.4640 8.1015
2.4934 5.2548 1.6614
-0.0920 2.2331 -0.4869
```

Values from the calculation:
SG: C2/m

=====

VASP calculation (GGA-PBE) on a relaxed structure of Tl2HBr3.

```
Tl2HBr3
1.0
-4.5828 3.7960 -6.1682
6.7492 -2.8339 -0.8039
-6.0472 -6.2312 0.6582
Tl H Br
4 2 6
Cartesian
0.0937 -2.1580 -3.5860
-1.2457 -6.6686 -0.9902
-2.6351 1.3995 -5.3238
-3.9746 -3.1111 -2.7280
-5.9664 2.1321 -5.8311
-4.6636 -4.5672 0.3211
-7.1337 -2.5212 -3.0035
-3.4964 0.0860 -2.5065
0.6577 0.6446 -5.5872
-1.1614 -3.0910 -0.5800
-2.7195 -2.1781 -5.7340
-4.5385 -5.9137 -0.7268
```

Values from the calculation:
SG: C2/c

=====

VASP calculation (GGA-PBE) on a relaxed structure of TlH6Br.

```
TlH6Br
1.0
-6.0648 -5.6964 3.4834
-7.4762 -2.7036 -4.2617
9.8817 3.8478 -0.3140
Tl H Br
1 6 1
Cartesian
4.9409 1.9239 -0.1570
-1.4304 -2.4168 0.7418
-1.8665 -1.4920 -1.6515
-1.7928 -3.0602 0.5593
-2.2289 -2.1354 -1.8340
-6.4264 -4.3210 -0.4986
2.7671 -0.2312 -0.5936
0.0000 0.0000 0.0000
```

Values from the calculation:
SG: C2/m

=====

VASP calculation (GGA-PBE) on a relaxed structure of TlHBr3.

```
TlHBr3
1.0
-3.9980 -2.1263 3.3103
2.8748 -4.8008 0.3885
2.6859 1.9735 4.5116
H Tl Br
1 1 3
Cartesian
0.7814 -2.4768 4.1052
0.0000 0.0000 0.0000
1.4374 -2.4004 0.1942
1.3429 0.9867 2.2558
-1.9990 -1.0631 1.6551
```

Values from the calculation:
SG: Pm-3m
Offset from the most stable computed form, meV per atom: 393

=====

VASP calculation (GGA-PBE) on a relaxed structure of Tl2HBr4.

```
Tl2HBr4
1.0
4.4830 0.0000 0.0000
0.0000 4.4830 0.0000
2.2415 2.2415 10.1536
H Tl Br
1 2 4
Cartesian
0.0000 0.0000 0.0000
4.4830 4.4830 6.9876
2.2415 2.2415 3.1659
4.4830 4.4830 3.6794
2.2415 2.2415 6.4742
0.0000 2.2415 0.0000
2.2415 0.0000 0.0000
```

Values from the calculation:
SG: I4/mmm

=====

VASP calculation (GGA-PBE) on a relaxed structure of Tl4H5Br.

```
Tl4H5Br
1.0
5.8225 0.0000 0.0000
0.0000 8.3206 0.0000
0.0000 0.0000 9.0004
Tl H Br
8 10 2
Cartesian
0.4731 0.0000 6.3416
2.5287 6.1019 0.0000
2.5287 2.2187 0.0000
0.4731 0.0000 2.6587
5.3495 4.1603 1.8414
3.2938 6.3790 4.5002
3.2938 1.9416 4.5002
5.3495 4.1603 7.1589
1.6009 6.8455 7.4851
1.6009 1.4751 7.4851
3.0731 4.1603 0.0000
1.6009 6.8455 1.5152
1.6009 1.4751 1.5152
4.2216 5.6355 2.9850
4.2216 2.6852 2.9850
2.7495 0.0000 4.5002
4.2216 2.6852 6.0154
4.2216 5.6355 6.0154
4.5815 0.0000 0.0000
1.2411 4.1603 4.5002
```

Values from the calculation:
SG: Pmmn

=====

VASP calculation (GGA-PBE) on a relaxed structure of TlHBr.

```
TlHBr
1.0
-3.2886 1.5361 1.4119
-1.6468 -5.0311 -3.7333
0.3545 -3.7787 4.9368
Tl H Br
2 2 2
Cartesian
-2.1810 -3.1055 3.6701
-2.3998 -4.1683 -1.0547
-4.0399 -3.3949 -0.3446
-0.5409 -3.8788 2.9600
-2.1983 -6.0263 1.4361
-2.3825 -1.2475 1.1793
```

Values from the calculation:
SG: Cmcm
Offset from the most stable computed form, meV per atom: 409

=====

VASP calculation (GGA-PBE) on a relaxed structure of Tl2H3Br4.

```
Tl2H3Br4
1.0
4.4368 7.5081 1.5186
-4.4368 7.5081 1.5186
0.0000 1.0447 7.6455
Tl H Br
4 6 8
Cartesian
-0.2080 11.8135 6.0867
-0.2080 3.7251 0.7732
0.2080 4.2475 4.5960
0.2080 12.3359 9.9095
-0.0013 11.5558 4.1757
-0.0013 3.9828 2.6842
0.0013 4.5052 6.5069
0.0013 12.0782 7.9985
-2.2008 7.7693 3.4300
2.2008 8.2917 7.2527
2.1896 6.2799 4.3523
2.1896 9.2587 2.5076
-2.1896 9.7811 6.3304
-2.1896 6.8023 8.1750
-2.2029 9.2143 2.5139
-2.2029 6.3243 4.3460
2.2029 6.8467 8.1688
2.2029 9.7367 6.3366
```

Values from the calculation:
SG: C2/c

=====

VASP calculation (GGA-PBE) on a relaxed structure of TlHBr.

```
TlHBr
1.0
-2.3078 2.3771 3.3419
-4.0854 -1.1781 -1.9833
2.9007 -7.5389 4.0524
Tl H Br
2 2 2
Cartesian
-1.3609 -3.6652 4.9805
-2.1316 -2.6748 0.4305
-3.5250 0.5048 0.5199
-2.8683 0.6941 0.8387
-2.2419 -5.2606 2.1937
-1.2506 -1.0793 3.2173
```

Values from the calculation:
SG: Immm
Offset from the most stable computed form, meV per atom: 0

=====

VASP calculation (GGA-PBE) on a relaxed structure of TlHBr2.

```
TlHBr2
1.0
1.5704 -0.5284 4.9533
1.4550 4.2015 2.7407
-3.0096 1.7484 3.8944
H Tl Br
1 1 2
Cartesian
0.0000 0.0000 0.0000
0.0079 2.7108 5.7942
0.0040 1.3554 2.8971
0.0119 4.0662 8.6913
```

Values from the calculation:
SG: Fm-3m
Offset from the most stable computed form, meV per atom: 794

=====

VASP calculation (GGA-PBE) on a relaxed structure of Tl4HBr2.

```
Tl4HBr2
1.0
-0.8918 4.6771 -0.9124
-4.4354 -1.1540 -1.5807
-6.0516 2.8195 7.4879
H Tl Br
1 4 2
Cartesian
0.0000 0.0000 0.0000
-6.4531 3.8747 0.4095
-4.9257 2.4679 4.5853
-2.2177 -0.5770 -0.7903
-0.4459 2.3386 -0.4562
-7.5919 4.2303 3.3455
-3.7869 2.1123 1.6493
```

Values from the calculation:
SG: I4/mmm

=====

VASP calculation (GGA-PBE) on a relaxed structure of TlHBr2.

```
TlHBr2
1.0
-3.3365 -1.6579 -3.3668
-1.8849 -7.3811 5.4995
-1.8738 7.3297 1.9887
Tl H Br
2 2 4
Cartesian
-4.5569 -3.0997 4.3310
-1.8628 0.7205 3.5215
-2.1548 -6.2147 5.1747
-0.8875 -2.7441 2.2023
-3.7090 -0.4117 5.9276
-5.6995 -6.7194 2.8095
-2.6972 -1.9608 1.9385
-4.6745 2.3791 1.0491
```

Values from the calculation:
SG: P1
Offset from the most stable computed form, meV per atom: 25

=====

VASP calculation (GGA-PBE) on a relaxed structure of UTlH2Br8.

```
UTlH2Br8
1.0
-6.6133 -1.7284 3.5717
3.4342 -2.8766 6.5412
-2.4414 9.0140 -1.0430
U Tl H Br
1 1 2 8
Cartesian
0.0000 0.0000 0.0000
-1.2207 4.5070 -0.5215
-1.9741 4.0860 3.3051
-3.6464 0.3231 5.7648
1.3131 -1.5511 5.5166
-4.4599 4.4293 6.6772
-5.4295 0.6865 4.1728
-6.9336 5.9602 3.5533
-1.1606 -0.0202 2.3927
-0.1910 3.7226 4.8971
-2.5422 0.0407 6.6720
-3.0783 4.3684 2.3979
```

Values from the calculation:
SG: P-1

=====

VASP calculation (GGA-PBE) on a relaxed structure of TlV2HBr.

```
TlV2HBr
1.0
-0.8829 3.5825 -3.9574
-3.4360 0.4827 1.2035
1.6941 3.9918 3.2358
H Tl Br V
1 1 1 2
Cartesian
-1.7180 0.2413 0.6018
0.0000 0.0000 0.0000
-1.3124 4.0285 0.2409
0.8471 1.9959 1.6179
-0.4414 1.7913 -1.9787
```

Values from the calculation:
SG: P4/mmm

=====

VASP calculation (GGA-PBE) on a relaxed structure of Tm2HBr3.

```
Tm2HBr3
1.0
3.7487 0.0000 0.0000
1.8744 8.9517 0.3563
1.8744 2.4726 9.5568
Tm H Br
4 2 6
Cartesian
5.6231 6.2829 7.7555
1.8744 5.1414 2.1577
3.7487 4.1864 5.2375
3.7487 7.2379 4.6757
3.7487 6.0372 6.5431
3.7487 5.3871 3.3700
1.8744 3.4554 7.2569
5.6231 7.9689 2.6562
5.6231 8.4977 9.7093
1.8744 2.9266 0.2038
5.6231 8.7179 6.2124
1.8744 2.7064 3.7007
```

Values from the calculation:
SG: C2/m

=====

VASP calculation (GGA-PBE) on a relaxed structure of TmH2Br3.

```
TmH2Br3
1.0
-2.0535 -4.2322 6.5682
5.6821 -2.8149 -5.0059
5.0279 3.4270 3.7800
Tm H Br
2 4 6
Cartesian
0.0000 0.0000 0.0000
2.5139 1.7135 1.8900
7.9335 0.0047 2.4833
2.8411 -2.1812 4.4513
0.7230 -3.6248 2.8590
5.8155 -1.4389 0.8910
4.6450 -4.4669 1.2649
2.6796 -0.6501 0.4188
5.7571 -2.1747 -2.2924
4.0116 0.8468 4.0774
5.9769 -2.9700 4.9235
2.8994 -1.4454 7.6347
```

Values from the calculation:
SG: P6_3/mmc

=====

VASP calculation (GGA-PBE) on a relaxed structure of TmHBr2.

```
TmHBr2
1.0
3.6882 0.0000 0.8165
1.7555 3.2455 0.8087
0.1894 0.1351 7.8825
Tm H Br
1 1 2
Cartesian
2.2953 0.8653 7.1081
2.2360 3.0289 7.3763
4.5177 2.1859 5.8079
3.5128 1.5742 1.6088
```

Values from the calculation:
SG: R3m

=====

VASP calculation (GGA-PBE) on a relaxed structure of TmH2Br.

```
TmH2Br
1.0
-0.2472 2.7055 -2.4343
-3.2063 0.7570 -1.5663
-2.1604 4.2800 2.2432
H Tm Br
2 1 1
Cartesian
-1.2335 1.4092 -1.0417
-4.3804 6.3334 -0.7156
0.0000 0.0000 0.0000
-2.8069 3.8713 -0.8787
```

Values from the calculation:
SG: R-3m

=====

VASP calculation (GGA-PBE) on a relaxed structure of TmH2Br4.

```
TmH2Br4
1.0
4.7346 0.0000 0.0000
0.0000 4.5639 -1.3365
0.0000 0.4386 9.9583
Tm H Br
1 2 4
Cartesian
0.0000 2.2819 -0.6682
2.3673 1.0955 3.7410
2.3673 3.9069 4.8808
2.3673 2.7645 0.9797
0.0000 4.5206 6.9765
2.3673 2.2379 7.6422
0.0000 0.4818 1.6454
```

Values from the calculation:
SG: Cmmm

=====

VASP calculation (GGA-PBE) on a relaxed structure of TmH4Br4.

```
TmH4Br4
1.0
3.7117 0.0000 1.1206
1.8558 6.9970 0.5603
-0.1664 0.0000 7.2587
Tm H Br
1 4 4
Cartesian
2.7838 3.4985 0.8404
2.2323 2.2662 2.6670
3.1688 4.7308 6.2725
2.4276 5.4065 2.0202
2.9735 1.5905 6.9194
1.1356 1.4965 6.2997
4.2655 5.5005 2.6399
4.0610 2.2041 3.3173
1.3401 4.7929 5.6223
```

Values from the calculation:
SG: I4/m

=====

VASP calculation (GGA-PBE) on a relaxed structure of TmHBr.

```
TmHBr
1.0
3.6359 -0.0031 -0.0002
-0.0032 3.7288 -0.0010
0.0023 -0.0015 10.0322
Tm H Br
2 2 2
Cartesian
0.9094 0.9310 6.2376
2.7256 2.7931 3.7934
2.7273 0.9290 4.9449
0.9077 2.7951 5.0861
0.9075 2.7949 1.7215
2.7274 0.9293 8.3095
```

Values from the calculation:
SG: P2/c

=====

VASP calculation (GGA-PBE) on a relaxed structure of TmHBr.

```
TmHBr
1.0
3.5497 0.0040 0.1014
-0.0040 5.8966 0.0566
-1.4596 -2.3029 7.9250
H Tm Br
2 2 2
Cartesian
1.5565 2.9819 0.3857
0.5296 0.6158 7.6973
-0.7318 1.7968 3.9908
1.0450 -1.1494 4.0132
2.8789 -0.0491 1.9856
-0.7928 3.6468 6.0974
```

Values from the calculation:
SG: P-1

=====

VASP calculation (GGA-PBE) on a relaxed structure of TmHBr2.

```
TmHBr2
1.0
4.0209 0.0005 -0.0016
0.0004 4.1787 0.0028
-2.0097 -2.0835 7.0720
Tm H Br
1 1 2
Cartesian
0.0007 -2.0454 7.0712
2.0106 2.1277 0.0007
0.0008 0.0395 1.9080
2.0108 2.1308 5.1654
```

Values from the calculation:
SG: C2/m

=====

Values for E_tot, eV/atom, ordered as above
-2.67; -2.82; -3.16; -1.93; -2.36; -2.58; -2.62; -2.53; -3.03; -2.03; -2.57; -2.80; -3.67; -4.04; -4.21; -3.17; -4.29; -4.11; -2.80; -2.88; -4.18; -3.72; -4.14